BaLi2Hg8: relaxed, GGA-PBE.

The structure in POSCAR format:
```
BaLi2Hg8
1.0
6.415 0.000 0.000
0.000 6.415 0.000
0.000 0.000 8.507
Ba Li Hg
1 2 8
Cartesian
0.000 0.000 0.000
0.000 3.208 4.254
3.208 0.000 4.254
1.666 1.666 2.574
1.666 1.666 5.933
1.666 4.749 2.574
1.666 4.749 5.933
4.749 1.666 2.574
4.749 1.666 5.933
4.749 4.749 2.574
4.749 4.749 5.933
```

Summary:
Theoretical density: 8.328 g cm⁻³
DFT formation energy: -172 meV/atom

---

EuTmPt: relaxed, GGA-PBE.

The structure in POSCAR format:
```
EuTmPt
1.0
0.000 3.476 3.476
3.476 0.000 3.476
3.476 3.476 0.000
Eu Tm Pt
1 1 1
Cartesian
0.000 0.000 0.000
3.476 3.476 3.476
5.213 5.213 5.213
```

Summary:
Theoretical density: 10.204 g cm⁻³
DFT formation energy: -762 meV/atom
Energy above the lowest structure with this stoichiometry: 0 meV per atom

---

CeAl12Cu6: relaxed, GGA-PBE.

The structure in POSCAR format:
```
CeAl12Cu6
1.0
5.629 3.250 2.841
-5.629 3.250 2.841
0.000 -6.500 2.841
Ce Al Cu
1 12 6
Cartesian
0.000 0.000 0.000
-2.157 -3.737 4.261
-4.315 0.000 4.261
-1.437 -0.829 2.799
1.437 -0.829 2.799
0.000 1.659 2.799
2.157 -3.737 4.261
-2.157 3.737 4.261
0.000 -1.659 5.723
-1.437 0.829 5.723
1.437 0.829 5.723
4.315 0.000 4.261
2.157 3.737 4.261
0.000 -2.879 3.538
-2.494 1.440 3.538
-2.494 -1.440 4.984
2.494 1.440 3.538
2.494 -1.440 4.984
0.000 2.879 4.984
```

Summary:
Theoretical density: 4.501 g cm⁻³
DFT formation energy: -121 meV/atom

---

- The highest theoretical density belongs to which entry?
  EuTmPt